w) RbSr3F after structural relaxation, computed with GGA-PBE.

The space group is Pm-3m (No. 221) and the conventional cell measures 6.044, 6.044 and 6.044 Å, with angles of 90.00, 90.00 and 90.00 degrees. The asymmetric unit holds Rb at (0.000, 0.000, 0.000), Sr at (0.000, 0.500, 0.500) and F at (0.500, 0.500, 0.500).

The crystal system is cubic. The density of states at the Fermi level is 0.761 states/eV per atom.

x) RbSr3F after structural relaxation, computed with GGA-PBE.

The space group is Pm-3m (No. 221) and the conventional cell measures 7.648, 7.648 and 7.648 Å, with angles of 90.00, 90.00 and 90.00 degrees. The asymmetric unit holds Rb at (0.000, 0.000, 0.000), Sr at (0.000, 0.000, 0.500) and F at (0.500, 0.500, 0.500).

The crystal system is cubic. The density of states at the Fermi level is 0.412 states/eV per atom.

Here are the energies relative to the best structure, in kJ/mol of atoms: w) 0.0; x) 116.2.

w) RbSr2F after structural relaxation, computed with GGA-PBE.

The space group is Fm-3m (No. 225) and the conventional cell measures 9.249, 9.249 and 9.249 Å, with angles of 90.00, 90.00 and 90.00 degrees. The asymmetric unit holds Rb at (0.000, 0.000, 0.000), Sr at (0.250, 0.250, 0.250) and F at (0.000, 0.000, 0.500).

The crystal system is cubic. The density of states at the Fermi level is 0.652 states/eV per atom.

x) RbSr2F after structural relaxation, computed with GGA-PBE.

The space group is R-3m (No. 166, hexagonal axes) and the conventional cell measures 4.1812, 4.1812 and 34.8394 Å, with angles of 90.00, 90.00 and 120.00 degrees. The asymmetric unit holds Rb at (0.0000, 0.0000, 0.0000), Sr at (0.0000, 0.0000, 0.1214) and F at (0.0000, 0.0000, 0.5000).

The crystal system is trigonal. The density of states at the Fermi level is 0.771 states/eV per atom.

Here are the energies relative to the best structure, in kJ/mol of atoms: w) 68.9; x) 0.0.

w) RbSrF2 after structural relaxation, computed with GGA-PBE.

The space group is R-3m (No. 166, hexagonal axes) and the conventional cell measures 4.1297, 4.1297 and 23.1170 Å, with angles of 90.00, 90.00 and 120.00 degrees. The asymmetric unit holds Rb at (0.0000, 0.0000, 0.0000), Sr at (0.0000, 0.0000, 0.5000) and F at (0.0000, 0.0000, 0.1278).

The crystal system is trigonal. The density of states at the Fermi level is 0.245 states/eV per atom.

x) RbSrF2 after structural relaxation, computed with GGA-PBE.

The space group is Fm-3m (No. 225) and the conventional cell measures 7.117, 7.117 and 7.117 Å, with angles of 90.00, 90.00 and 90.00 degrees. The asymmetric unit holds Rb at (0.000, 0.000, 0.000), Sr at (0.000, 0.000, 0.500) and F at (0.250, 0.250, 0.250).

The crystal system is cubic. The density of states at the Fermi level is 0.653 states/eV per atom.

y) RbSrF2 after structural relaxation, computed with GGA-PBE.

The space group is I-42d (No. 122) and the conventional cell measures 6.424, 6.424 and 12.309 Å, with angles of 90.00, 90.00 and 90.00 degrees. The asymmetric unit holds Rb at (0.000, 0.000, 0.000), Sr at (0.000, 0.000, 0.500) and F at (0.141, 0.250, 0.625).

The crystal system is tetragonal. The density of states at the Fermi level is 0.179 states/eV per atom.

Here are the energies relative to the best structure, in kJ/mol of atoms: w) 0.0; x) 61.9; y) 7.5.

w) Rb2TaF7 after structural relaxation, computed with GGA-PBE.

The space group is Fm-3m (No. 225) and the conventional cell measures 9.490, 9.490 and 9.490 Å, with angles of 90.00, 90.00 and 90.00 degrees. The asymmetric unit holds Rb at (0.250, 0.250, 0.250), Ta at (0.000, 0.000, 0.000), F at (0.000, 0.000, 0.203) and F at (0.000, 0.000, 0.500).

The crystal system is cubic. The density of states at the Fermi level is 0.000 states/eV per atom.

x) Rb2TaF7 after structural relaxation, computed with GGA-PBE.

The space group is Pmmn (No. 59, origin choice 2) and the conventional cell measures 6.025, 6.070 and 10.560 Å, with angles of 90.00, 90.00 and 90.00 degrees. The asymmetric unit holds Rb at (0.250, 0.250, 0.003), Rb at (0.250, 0.750, 0.641), Ta at (0.250, 0.750, 0.244), F at (0.011, 0.538, 0.204), F at (0.250, 0.552, 0.394) and F at (0.250, 0.750, 0.053).

The crystal system is orthorhombic. The density of states at the Fermi level is 0.000 states/eV per atom.

y) Rb2TaF7 after structural relaxation, computed with GGA-PBE.

The space group is C2/c (No. 15) and the conventional cell measures 14.240, 7.208 and 9.967 Å, with angles of 90.00, 129.89 and 90.00 degrees. The asymmetric unit holds Rb at (0.184, 0.074, 0.273), Ta at (0.000, 0.386, 0.750), F at (0.000, 0.105, 0.750), F at (0.096, 0.340, 0.001), F at (0.110, 0.393, 0.356) and F at (0.136, 0.320, 0.753).

The crystal system is monoclinic. The density of states at the Fermi level is 0.000 states/eV per atom.

Here are the energies relative to the best structure, in kJ/mol of atoms: w) 32.4; x) 0.0; y) 1.7.